1.
DFT (GGA-PBE) results for an optimized crystal structure of Li3HgRh.

Unit cell a=9.883 b=4.486 c=7.569 alpha=90.00 beta=90.00 gamma=90.00
Fractional coordinates of all 20 atoms:
Li (0.093, 0.250, 0.051)
Li (0.120, 0.750, 0.323)
Li (0.142, 0.250, 0.652)
Li (0.358, 0.750, 0.152)
Li (0.380, 0.250, 0.823)
Li (0.407, 0.750, 0.551)
Li (0.593, 0.250, 0.449)
Li (0.620, 0.750, 0.177)
Li (0.642, 0.250, 0.848)
Li (0.858, 0.750, 0.348)
Li (0.880, 0.250, 0.677)
Li (0.907, 0.750, 0.949)
Hg (0.212, 0.750, 0.848)
Hg (0.288, 0.250, 0.348)
Hg (0.712, 0.750, 0.652)
Hg (0.788, 0.250, 0.152)
Rh (0.000, 0.250, 0.379)
Rh (0.000, 0.750, 0.621)
Rh (0.500, 0.250, 0.121)
Rh (0.500, 0.750, 0.879)

## Properties
The space group is Pnma, No. 62. The calculation puts the energy above the most stable polymorph in this dataset at 0.000 eV per atom. As for the formation energy: -0.164 eV/atom.

=====

2.
DFT (GGA-PBE) results for an optimized crystal structure of CdAg2Cl.

Unit cell a=3.301 b=3.301 c=25.700 alpha=90.00 beta=90.00 gamma=120.00
Fractional coordinates of all 12 atoms:
Cd (0.000, 0.000, 0.000)
Cd (0.333, 0.667, 0.667)
Cd (0.667, 0.333, 0.333)
Ag (0.000, 0.000, 0.247)
Ag (0.000, 0.000, 0.753)
Ag (0.333, 0.667, 0.420)
Ag (0.333, 0.667, 0.914)
Ag (0.667, 0.333, 0.086)
Ag (0.667, 0.333, 0.580)
Cl (0.000, 0.000, 0.500)
Cl (0.333, 0.667, 0.167)
Cl (0.667, 0.333, 0.833)

## Properties
The space group is R-3m, No. 166. The uncorrected formation energy is -0.57 eV per formula unit. The calculation puts the energy above the most stable polymorph in this dataset at 0.021 eV per atom.